Record 1
# YTl2Ge (PBE-GGA, relaxed)
data_YTl2Ge
_chemical_formula_sum 'Y1 Tl2 Ge1'
_cell_length_a 5.312
_cell_length_b 5.312
_cell_length_c 5.312
_cell_angle_alpha 60.00
_cell_angle_beta 60.00
_cell_angle_gamma 60.00
_symmetry_space_group_name_H-M 'P 1'
_symmetry_Int_Tables_number 1
loop_
_symmetry_equiv_pos_as_xyz
'x,y,z'
loop_
_atom_site_label
_atom_site_fract_x
_atom_site_fract_y
_atom_site_fract_z
_atom_site_occupancy
Y1 0.500 0.500 0.500 1
Tl1 0.250 0.250 0.250 1
Tl2 0.750 0.750 0.750 1
Ge1 0.000 0.000 0.000 1
# ΔE to the lowest computed polymorph in eV/atom: 0.102
# Total energy in eV/cell: -15.84
# DFT formation energy in kJ/mol of atoms: -0.6

---

Record 2
# YTlGe3 (PBE-GGA, relaxed)
data_YTlGe3
_chemical_formula_sum 'Y1 Tl1 Ge3'
_cell_length_a 5.463
_cell_length_b 5.463
_cell_length_c 5.463
_cell_angle_alpha 90.00
_cell_angle_beta 90.00
_cell_angle_gamma 90.00
_symmetry_space_group_name_H-M 'P 1'
_symmetry_Int_Tables_number 1
loop_
_symmetry_equiv_pos_as_xyz
'x,y,z'
loop_
_atom_site_label
_atom_site_fract_x
_atom_site_fract_y
_atom_site_fract_z
_atom_site_occupancy
Y1 0.000 0.000 0.000 1
Tl1 0.500 0.500 0.500 1
Ge1 0.000 0.500 0.000 1
Ge2 0.000 0.000 0.500 1
Ge3 0.500 0.000 0.000 1
# ΔE to the lowest computed polymorph in eV/atom: 0.000
# Total energy in eV/cell: -20.26
# DFT formation energy in kJ/mol of atoms: 46.8

---

Record 3
# YTlGe3 (PBE-GGA, relaxed)
data_YTlGe3
_chemical_formula_sum 'Y1 Tl1 Ge3'
_cell_length_a 5.263
_cell_length_b 5.263
_cell_length_c 5.263
_cell_angle_alpha 90.00
_cell_angle_beta 90.00
_cell_angle_gamma 90.00
_symmetry_space_group_name_H-M 'P 1'
_symmetry_Int_Tables_number 1
loop_
_symmetry_equiv_pos_as_xyz
'x,y,z'
loop_
_atom_site_label
_atom_site_fract_x
_atom_site_fract_y
_atom_site_fract_z
_atom_site_occupancy
Y1 0.500 0.500 0.500 1
Tl1 0.000 0.000 0.000 1
Ge1 0.000 0.500 0.000 1
Ge2 0.000 0.000 0.500 1
Ge3 0.500 0.000 0.000 1
# ΔE to the lowest computed polymorph in eV/atom: 0.204
# Total energy in eV/cell: -19.24
# DFT formation energy in kJ/mol of atoms: 66.5

---

Record 4
# YTlGe4 (PBE-GGA, relaxed)
data_YTlGe4
_chemical_formula_sum 'Y1 Tl1 Ge4'
_cell_length_a 5.689
_cell_length_b 5.689
_cell_length_c 5.689
_cell_angle_alpha 60.00
_cell_angle_beta 60.00
_cell_angle_gamma 60.00
_symmetry_space_group_name_H-M 'P 1'
_symmetry_Int_Tables_number 1
loop_
_symmetry_equiv_pos_as_xyz
'x,y,z'
loop_
_atom_site_label
_atom_site_fract_x
_atom_site_fract_y
_atom_site_fract_z
_atom_site_occupancy
Y1 0.000 0.000 0.000 1
Tl1 0.250 0.250 0.250 1
Ge1 0.626 0.626 0.123 1
Ge2 0.626 0.123 0.626 1
Ge3 0.626 0.626 0.626 1
Ge4 0.123 0.626 0.626 1
# Total energy in eV/cell: -28.07
# DFT formation energy in kJ/mol of atoms: -12.4